VASP calculation (PBE) on a relaxed structure of Li2TlBr.

Values from the calculation:
- Energy above the most stable polymorph in this dataset: 0.0606 eV per atom
- Symmetry: P2/m, No. 10
- Final energy: -2.632 eV per atom
- Raw formation energy: -0.665 eV per atom

Unit cell a=3.431 b=3.479 c=7.961 alpha=76.87 beta=90.00 gamma=90.00
Sites, in units of the cell vectors:
Br 0.500 0.750 0.750
Li 0.000 0.928 0.966
Tl 0.500 0.250 0.250
Li 0.000 0.572 0.534